The following is a PBE calculation of a relaxed LiCaC crystal, from Alexandria.

CIF file:
```
data_LiCaC
_chemical_formula_sum 'Li6 Ca6 C6'
_symmetry_space_group_name_H-M 'R 3 m'
_symmetry_Int_Tables_number 160
_symmetry_space_group_name_Hall 'R 3 -2"'
_cell_length_a 3.7856
_cell_length_b 3.7856
_cell_length_c 26.8651
_cell_angle_alpha 90.00
_cell_angle_beta 90.00
_cell_angle_gamma 120.00
loop_
_atom_site_label
_atom_site_fract_x
_atom_site_fract_y
_atom_site_fract_z
_atom_site_occupancy
Li1 0.0000 0.0000 0.0000 1
Li2 0.0000 0.0000 0.3739 1
Ca1 0.0000 0.0000 0.1287 1
Ca2 0.0000 0.0000 0.5861 1
C1 0.0000 0.0000 0.6821 1
C2 0.0000 0.0000 0.7315 1
```

Summary:
Energy above the most stable polymorph in this dataset ... 0 meV/atom
Energy of formation ... 0.01 eV per atom
Electronic total energy ... -0.1605 hartree per atom
Calculated density ... 1.8 g/cm3
Spin magnetization ... 0.0 μB/f.u.
Calculated volume ... 18.5 Å³ per atom

The following is a PBE calculation of a relaxed LiCaC2 crystal, from Alexandria.

CIF file:
```
data_LiCaC2
_chemical_formula_sum 'Li4 Ca4 C8'
_symmetry_space_group_name_H-M 'I 41/a m d'
_symmetry_Int_Tables_number 141
_cell_length_a 3.713
_cell_length_b 3.713
_cell_length_c 13.843
_cell_angle_alpha 90.00
_cell_angle_beta 90.00
_cell_angle_gamma 90.00
loop_
_symmetry_equiv_pos_as_xyz
'x,y,z'
'-x,-y,-z'
'-y+1/4,x+3/4,z+1/4'
'y+1/4,-x+3/4,-z+1/4'
'-x+1/2,-y,z+1/2'
'x+1/2,y,-z+1/2'
'y+1/4,-x+1/4,z+3/4'
'-y+1/4,x+1/4,-z+3/4'
'x,-y,-z'
'-x,y,z'
'-y+1/4,-x+1/4,-z+3/4'
'y+1/4,x+1/4,z+3/4'
'-x+1/2,y,-z+1/2'
'x+1/2,-y,z+1/2'
'y+1/4,x+3/4,-z+1/4'
'-y+1/4,-x+3/4,z+1/4'
'x+1/2,y+1/2,z+1/2'
'-x+1/2,-y+1/2,-z+1/2'
'-y+3/4,x+1/4,z+3/4'
'y+3/4,-x+1/4,-z+3/4'
'-x,-y+1/2,z'
'x,y+1/2,-z'
'y+3/4,-x+3/4,z+1/4'
'-y+3/4,x+3/4,-z+1/4'
'x+1/2,-y+1/2,-z+1/2'
'-x+1/2,y+1/2,z+1/2'
'-y+3/4,-x+3/4,-z+1/4'
'y+3/4,x+3/4,z+1/4'
'-x,y+1/2,-z'
'x,-y+1/2,z'
'y+3/4,x+1/4,-z+3/4'
'-y+3/4,-x+1/4,z+3/4'
loop_
_atom_site_label
_atom_site_fract_x
_atom_site_fract_y
_atom_site_fract_z
_atom_site_occupancy
Li1 0.000 0.250 0.375 1
Ca1 0.000 0.250 0.875 1
C1 0.000 0.000 0.500 1
```

Summary:
Energy above the most stable polymorph in this dataset ... 0 meV/atom
Energy of formation ... 0.98 eV per atom
Electronic total energy ... -0.1696 hartree per atom
Calculated density ... 2.5 g/cm3
Spin magnetization ... 0.0 μB/f.u.
Calculated volume ... 11.9 Å³ per atom

The following is a PBE calculation of a relaxed LiCaC2 crystal, from Alexandria.

CIF file:
```
data_LiCaC2
_chemical_formula_sum 'Li4 Ca4 C8'
_symmetry_space_group_name_H-M 'F m -3 m'
_symmetry_Int_Tables_number 225
_symmetry_space_group_name_Hall '-F 4 2 3'
_cell_length_a 5.825
_cell_length_b 5.825
_cell_length_c 5.825
_cell_angle_alpha 90.00
_cell_angle_beta 90.00
_cell_angle_gamma 90.00
loop_
_atom_site_label
_atom_site_fract_x
_atom_site_fract_y
_atom_site_fract_z
_atom_site_occupancy
Li1 0.000 0.000 0.000 1
Ca1 0.000 0.000 0.500 1
C1 0.250 0.250 0.250 1
```

Summary:
Energy above the most stable polymorph in this dataset ... 369 meV/atom
Energy of formation ... 1.35 eV per atom
Electronic total energy ... -0.1560 hartree per atom
Calculated density ... 2.4 g/cm3
Spin magnetization ... 0.0 μB/f.u.
Calculated volume ... 12.4 Å³ per atom

The following is a PBE calculation of a relaxed LiCaC crystal, from Alexandria.

CIF file:
```
data_LiCaC
_chemical_formula_sum 'Li4 Ca4 C4'
_symmetry_space_group_name_H-M 'C 1 2/m 1'
_symmetry_Int_Tables_number 12
_cell_length_a 6.943
_cell_length_b 3.657
_cell_length_c 11.592
_cell_angle_alpha 90.00
_cell_angle_beta 105.33
_cell_angle_gamma 90.00
loop_
_symmetry_equiv_pos_as_xyz
'x,y,z'
'-x,-y,-z'
'-x,y,-z'
'x,-y,z'
'x+1/2,y+1/2,z'
'-x+1/2,-y+1/2,-z'
'-x+1/2,y+1/2,-z'
'x+1/2,-y+1/2,z'
loop_
_atom_site_label
_atom_site_fract_x
_atom_site_fract_y
_atom_site_fract_z
_atom_site_occupancy
Li1 0.112 0.000 0.407 1
Ca1 0.200 0.500 0.844 1
C1 0.079 0.500 0.043 1
```

Summary:
Energy above the most stable polymorph in this dataset ... 97 meV/atom
Energy of formation ... 0.11 eV per atom
Electronic total energy ... -0.1570 hartree per atom
Calculated density ... 1.4 g/cm3
Spin magnetization ... 0.0 μB/f.u.
Calculated volume ... 23.7 Å³ per atom